(i)
GGA-PBE MgTc, relaxed; crystal system = orthorhombic; size of the total moment = 0.01 μB/atom; space-group type = No. 26
1.0
4.583 0.000 0.000
0.000 8.678 0.000
0.000 0.000 4.954
Mg Tc
6 6
Cartesian
0.000 0.711 0.000
0.000 3.527 4.827
0.000 5.151 2.350
0.000 7.967 2.477
2.291 3.544 1.556
2.291 5.133 4.033
0.000 2.080 2.487
0.000 6.598 0.009
2.291 0.766 1.550
2.291 1.862 3.873
2.291 6.815 1.396
2.291 7.912 4.027


(ii)
GGA-PBE MgTc, relaxed; crystal system = monoclinic; size of the total moment = 0.00 μB/atom; space-group type = No. 11
1.0
5.395 0.000 0.000
0.000 4.648 0.000
-1.329 0.000 7.650
Mg Tc
6 6
Cartesian
-0.002 1.162 0.791
0.015 3.486 4.346
1.383 1.162 3.311
2.683 3.486 4.339
4.051 1.162 3.304
4.067 3.486 6.859
-0.029 1.162 5.974
1.247 3.486 1.694
1.370 3.486 6.983
2.696 1.162 0.667
2.819 1.162 5.956
4.095 3.486 1.676


Stability check: which of them is most stable? (i).


(i)
GGA-PBE SrLiHg, relaxed; crystal system = cubic; space-group type = No. 216
1.0
0.000 3.759 3.759
3.759 0.000 3.759
3.759 3.759 0.000
Sr Li Hg
1 1 1
Cartesian
0.000 0.000 0.000
1.879 1.879 1.879
5.638 5.638 5.638


(ii)
GGA-PBE SrLiHg, relaxed; crystal system = tetragonal; space-group type = No. 123
1.0
3.878 0.000 0.000
0.000 3.878 0.000
0.000 0.000 11.164
Sr Li Hg
2 2 2
Cartesian
0.000 0.000 1.984
0.000 0.000 9.180
1.939 1.939 4.302
1.939 1.939 6.862
0.000 0.000 5.582
1.939 1.939 0.000


Stability check: which of them is most stable? (ii).